Below is crystalline CsAl3Ru at its relaxed geometry, with properties calculated at the PBE-GGA level.

Calculated values
DOS at the Fermi energy (states/eV per atom): 1.19
Energy above the most stable polymorph in this dataset (meV/atom): 2627
ΔH_f (0 K) (kJ/mol of atoms): 242.67

Geometry as POSCAR:
```
CsAl3Ru
1.0
5.639 0.000 0.000
0.000 5.639 0.000
0.000 0.000 5.639
Al Ru Cs
3 1 1
direct
0.500 0.000 0.000
0.000 0.500 0.000
0.000 0.000 0.500
0.500 0.500 0.500
0.000 0.000 0.000
```

***

Below is crystalline NaPrSn2Te4 at its relaxed geometry, with properties calculated at the PBE-GGA level.

Calculated values
Formation energy without anion corrections (kcal/mol of atoms): -17.53

Geometry as POSCAR:
```
NaPrSn2Te4
1.0
4.543 0.000 0.000
0.000 7.985 -0.237
0.000 2.733 7.325
Te Sn Na Pr
4 2 1 1
direct
0.000 0.753 0.743
0.000 0.247 0.257
0.500 0.751 0.253
0.500 0.249 0.747
0.500 0.000 0.500
0.000 0.000 0.000
0.500 0.500 0.000
0.000 0.500 0.500
```

***

Below is crystalline LiPt3O at its relaxed geometry, with properties calculated at the PBE-GGA level.

Calculated values
DOS at the Fermi energy (states/eV per atom): 0.93
Formation energy without anion corrections (kcal/mol of atoms): 6.02

Geometry as POSCAR:
```
LiPt3O
1.0
4.244 0.000 0.000
0.000 4.244 0.000
0.000 0.000 4.244
Pt Li O
3 1 1
direct
0.000 0.500 0.000
0.000 0.000 0.500
0.500 0.000 0.000
0.500 0.500 0.500
0.000 0.000 0.000
```

***

Below is crystalline Na12InSb7 at its relaxed geometry, with properties calculated at the PBE-GGA level.

Calculated values
DOS at the Fermi energy (states/eV per atom): 0.48
Formation energy without anion corrections (kcal/mol of atoms): -5.26

Geometry as POSCAR:
```
Na12InSb7
1.0
8.605 0.691 1.037
-1.729 8.458 1.037
-1.729 -2.301 8.205
Na Sb In
12 7 1
direct
0.220 0.833 0.733
0.733 0.220 0.833
0.267 0.780 0.167
0.397 0.437 0.156
0.844 0.603 0.563
0.563 0.844 0.603
0.833 0.733 0.220
0.167 0.267 0.780
0.437 0.156 0.397
0.780 0.167 0.267
0.156 0.397 0.437
0.603 0.563 0.844
0.984 0.621 0.898
0.016 0.379 0.102
0.898 0.984 0.621
0.379 0.102 0.016
0.500 0.500 0.500
0.621 0.898 0.984
0.102 0.016 0.379
0.000 0.000 0.000
```

***

Below is crystalline Li3YZr at its relaxed geometry, with properties calculated at the PBE-GGA level.

Calculated values
DOS at the Fermi energy (states/eV per atom): 1.33
Energy above the most stable polymorph in this dataset (meV/atom): 207
ΔH_f (0 K) (kJ/mol of atoms): 113.19

Geometry as POSCAR:
```
Li3YZr
1.0
-4.098 -2.589 0.244
0.291 -0.908 -4.758
2.584 -4.003 0.922
Li Zr Y
3 1 1
direct
0.000 0.000 0.500
0.500 0.000 0.000
0.000 0.500 0.000
0.500 0.500 0.500
0.000 0.000 0.000
```

***

Below is crystalline BaPd12 at its relaxed geometry, with properties calculated at the PBE-GGA level.

Calculated values
DOS at the Fermi energy (states/eV per atom): 1.78
ΔH_f (0 K) (kJ/mol of atoms): -10.40

Geometry as POSCAR:
```
BaPd12
1.0
5.310 0.000 0.000
2.655 6.555 0.000
2.655 0.000 6.555
Pd Ba
12 1
direct
0.356 0.644 0.644
0.729 0.771 0.771
0.500 0.000 0.500
0.500 0.229 0.771
0.271 0.229 0.229
0.000 0.644 0.356
0.000 0.356 0.644
0.500 0.500 0.000
0.500 0.771 0.229
0.644 0.356 0.356
0.000 0.000 0.500
0.000 0.500 0.000
0.000 0.000 0.000
```